Material: CaSeS
Method: DFT, PBE-GGA
State: relaxed

Unit cell a=4.5265 b=4.5329 c=5.3151 alpha=76.96 beta=75.15 gamma=60.36
Closest atoms and distances in Å follow each position.
Atoms (fractional coordinates):
Ca  0.0000  0.0000  0.0000  3 S 2.80, 3 Se 2.94-2.95
Se  0.3939  0.3771  0.7355  1 S 2.34
S  0.2903  0.3059  0.1942  1 Se 2.34

## Properties
Volume ... 30.3 A^3/atom
Formation energy from raw total energies ... -1186.7 meV per atom
Energy above the most stable polymorph in this dataset ... 85 meV/atom